VASP calculation (PBE-GGA) on Ac2ErSn after structural relaxation.

## Properties
The total magnetization comes out at 0.000 Bohr magnetons per cell. The density of states at the Fermi level is 4.66 states/eV/f.u. As for the energy above the most stable polymorph in this dataset: 0.55 eV per formula unit. As for the energy of formation from the pure elements: -0.167 eV per atom.

Lattice parameters (Å, degrees): 5.8448 5.8448 5.8448 60.00 60.00 60.00
Closest atoms and distances in Å follow each position.
Element x y z (fractional)
Ac 0.2500 0.2500 0.2500  4 Er 3.58, 4 Sn 3.58
Ac 0.7500 0.7500 0.7500  4 Sn 3.58, 4 Er 3.58
Sn 0.5000 0.5000 0.5000  8 Ac 3.58
Er 0.0000 0.0000 0.0000  8 Ac 3.58